Entry from Alexandria via LeMat-Bulk: a relaxed structure of Pu2HgF (PBE).

abc: 3.1086 3.1086 8.7591
angles: 90.00 90.00 90.00
Closest atoms and distances in Å follow each position.
Space group P4/mmm (No. 123)
Unique sites:
Pu1 0.0000 0.0000 0.2218 x2  4 F 2.93, 4 Pu 3.11, 4 Hg 3.28
Hg1 0.5000 0.5000 0.5000 x1  4 Hg 3.11, 8 Pu 3.28
F1 0.5000 0.5000 0.0000 x1  8 Pu 2.93, 4 F 3.11

Values from the calculation:
N(E_F) ... 10.62 states/eV/cell
Offset from the most stable computed form ... 12.9 meV per atom
DFT total energy ... -8.59 eV/atom
E_form (uncorrected) ... -0.883 eV/atom
ρ ... 13.88 g/cm3